(1)
Below is crystalline CaIn2Au7 at its relaxed geometry, with properties calculated at the PBE level.

Energy relative to the elements = -23.6 kJ/mol of atoms
M_tot = 0.0000 μB per atom
Crystal system = orthorhombic
DOS(E_F) = 3.14 states/eV per cell

Cell lengths 9.055, 9.055, 4.052 Å; angles 90.00, 90.00, 135.46 degrees
Atoms (fractional coordinates):
Ca 0.000 0.000 0.000
In 0.260 0.740 0.500
In 0.740 0.260 0.500
Au 0.086 0.316 0.500
Au 0.316 0.086 0.500
Au 0.378 0.622 0.000
Au 0.500 0.500 0.500
Au 0.622 0.378 0.000
Au 0.684 0.914 0.500
Au 0.914 0.684 0.500



(2)
Below is crystalline HfTeSe at its relaxed geometry, with properties calculated at the PBE level.

M_tot = 0.0000 μB per atom
Crystal system = monoclinic
ΔE_f (raw) = -1.089 eV per atom
DOS(E_F) = 0.62 states/eV per cell

Cell lengths 6.692, 3.874, 7.150 Å; angles 90.00, 93.24, 90.00 degrees
Atoms (fractional coordinates):
Hf 0.241 0.250 0.002
Hf 0.759 0.750 0.998
Te 0.403 0.750 0.746
Te 0.597 0.250 0.254
Se 0.100 0.750 0.215
Se 0.900 0.250 0.785



(3)
Below is crystalline AlZn2Au2 at its relaxed geometry, with properties calculated at the PBE level.

Energy relative to the elements = -9.2 kJ/mol of atoms
M_tot = 0.0000 μB per atom
Crystal system = tetragonal
DOS(E_F) = 2.54 states/eV per cell

Cell lengths 7.871, 7.871, 2.790 Å; angles 90.00, 90.00, 90.00 degrees
Atoms (fractional coordinates):
Al 0.000 0.000 0.000
Al 0.500 0.500 0.000
Zn 0.117 0.383 0.000
Zn 0.383 0.883 0.000
Zn 0.617 0.117 0.000
Zn 0.883 0.617 0.000
Au 0.181 0.681 0.500
Au 0.319 0.181 0.500
Au 0.681 0.819 0.500
Au 0.819 0.319 0.500



(4)
Below is crystalline Pr4S2NO at its relaxed geometry, with properties calculated at the PBE level.

M_tot = 0.0000 μB per atom
Crystal system = monoclinic
ΔE_f (raw) = -2.006 eV per atom
DOS(E_F) = 2.76 states/eV per cell

Cell lengths 6.620, 3.819, 6.906 Å; angles 90.00, 108.55, 90.00 degrees
Atoms (fractional coordinates):
Pr 0.232 0.000 0.210
Pr 0.258 0.500 0.788
Pr 0.742 0.500 0.212
Pr 0.768 0.000 0.790
S 0.000 0.000 0.500
S 0.500 0.500 0.500
N 0.000 0.500 0.000
O 0.500 0.000 0.000